Computed, not measured: CrMo2 after structural relaxation at the PBEsol level of DFT.

Computed properties:
Its crystal system is tetragonal. The density of states at the Fermi level is 1.09 states/eV/atom. Its calculated formation energy is 0.32 eV per atom. The calculation puts the total energy at -65.62 eV per cell.

Geometry as extended XYZ:
```
6
Lattice="4.8360 0.1364 0.0000 -2.2698 4.2724 0.0000 -1.2831 -2.2044 4.1110" Properties=species:S:1:pos:R:3 pbc="T T T"
Cr 1.9246 3.3066 0.0000
Cr 0.6415 1.1022 0.0000
Mo 0.6663 2.5634 2.0555
Mo 3.0596 1.1704 0.7137
Mo -1.7765 1.0340 3.3973
Mo 0.6168 -0.3590 2.0555
```